Material: TaCd2InAs
Method: DFT, PBE-GGA
State: relaxed

Properties
V: 28.6 A^3/atom
Symmetry: P4/mmm (123)
Formation energy from the elements: 1.307 eV per atom
N(E_F): 4.48 states/eV/f.u.
Raw total energy: -14.53 eV per cell

extended XYZ file:
```
5
Lattice="-3.404 1.757 3.452 -2.559 -4.728 -0.117 2.996 -1.717 3.829" Properties=species:S:1:pos:R:3 pbc="T T T"
Cd -1.702 0.878 1.726
Cd 1.498 -0.858 1.915
As -1.483 -2.344 3.582
In 0.000 0.000 0.000
Ta -1.279 -2.364 -0.059
```